## A
The following is a DFT calculation (GGA-PBEsol) of an optimized crystal structure of CdOs2Pb.

The calculation puts the magnetization at 0.00 μB/f.u. Its crystal system is cubic.

The space group is F-43m (No. 216) and the conventional cell measures 6.5468, 6.5468 and 6.5468 Å, with angles of 90.00, 90.00 and 90.00 degrees. Symmetry generates all atoms from Cd at (0.0000, 0.0000, 0.0000), Os at (0.0000, 0.0000, 0.5000), Os at (0.2500, 0.2500, 0.7500) and Pb at (0.2500, 0.2500, 0.2500).

---

## B
The following is a DFT calculation (GGA-PBEsol) of an optimized crystal structure of CdOs2Pb.

The calculation puts the magnetization at 0.00 μB/f.u. Its crystal system is orthorhombic.

The space group is Immm (No. 71) and the conventional cell measures 3.0491, 4.9927 and 9.1814 Å, with angles of 90.00, 90.00 and 90.00 degrees. Symmetry generates all atoms from Cd at (0.0000, 0.0000, 0.0000), Os at (0.0000, 0.5000, 0.2423) and Pb at (0.0000, 0.0000, 0.5000).

---

## C
The following is a DFT calculation (GGA-PBEsol) of an optimized crystal structure of CdOs2Pb.

The calculation puts the magnetization at 0.02 μB/f.u. Its crystal system is tetragonal.

The space group is P4/mmm (No. 123) and the conventional cell measures 4.5968, 4.5968 and 3.2219 Å, with angles of 90.00, 90.00 and 90.00 degrees. Symmetry generates all atoms from Cd at (0.0000, 0.0000, 0.0000), Os at (0.0000, 0.5000, 0.5000) and Pb at (0.5000, 0.5000, 0.0000).

---

Pick C: it beats the second-best structure by 1.1 kJ/mol of atoms.

---

## A
The following is a DFT calculation (GGA-PBEsol) of an optimized crystal structure of CdReOs.

The calculation puts the magnetization at 0.00 μB/f.u. Its crystal system is tetragonal.

The space group is I4mm (No. 107) and the conventional cell measures 2.8464, 2.8464 and 11.8587 Å, with angles of 90.00, 90.00 and 90.00 degrees. Symmetry generates all atoms from Cd at (0.0000, 0.0000, 0.0000), Re at (0.0000, 0.0000, 0.3152) and Os at (0.0000, 0.0000, 0.6820).

---

## B
The following is a DFT calculation (GGA-PBEsol) of an optimized crystal structure of CdReOs.

The calculation puts the magnetization at 0.00 μB/f.u. Its crystal system is orthorhombic.

The space group is Fmm2 (No. 42) and the conventional cell measures 2.8638, 4.6678 and 14.3505 Å, with angles of 90.00, 90.00 and 90.00 degrees. Symmetry generates all atoms from Cd at (0.0000, 0.0000, 0.0000), Re at (0.0000, 0.0000, 0.3224) and Os at (0.0000, 0.0000, 0.6755).

---

Pick A: it beats the second-best structure by 24.6 kJ/mol of atoms.

---

## A
The following is a DFT calculation (GGA-PBEsol) of an optimized crystal structure of CdSb2Os.

The calculation puts the magnetization at 0.00 μB/f.u. Its crystal system is orthorhombic.

The space group is Immm (No. 71) and the conventional cell measures 3.1120, 4.6868 and 12.2879 Å, with angles of 90.00, 90.00 and 90.00 degrees. Symmetry generates all atoms from Cd at (0.0000, 0.0000, 0.0000), Sb at (0.0000, 0.5000, 0.1777) and Os at (0.0000, 0.0000, 0.5000).

---

## B
The following is a DFT calculation (GGA-PBEsol) of an optimized crystal structure of CdSb2Os.

The calculation puts the magnetization at 0.00 μB/f.u. Its crystal system is trigonal.

The space group is R-3m (No. 166, hexagonal axes) and the conventional cell measures 3.1475, 3.1475 and 30.6644 Å, with angles of 90.00, 90.00 and 120.00 degrees. Symmetry generates all atoms from Cd at (0.0000, 0.0000, 0.0000), Sb at (0.0000, 0.0000, 0.2336) and Os at (0.0000, 0.0000, 0.5000).

---

Pick A: it beats the second-best structure by 5.3 kJ/mol of atoms.